TiCr3Sn | PBE | relaxed

Cell: 4.348 4.348 4.348 Å, 90.00 90.00 90.00°
Fractional coordinates of all 5 atoms:
Ti  0.000  0.000  0.000
Cr  0.000  0.000  0.500
Cr  0.000  0.500  0.000
Cr  0.500  0.000  0.000
Sn  0.500  0.500  0.500

Results
Crystal system: cubic
ΔH_f (0 K), eV per formula unit: 6.46